Compound: NdIrRu
Source: the Alexandria database
Functional: PBE
Structure: relaxed

Structure (CIF):
```
data_NdIrRu
_chemical_formula_sum 'Nd2 Ir2 Ru2'
_cell_length_a 5.262
_cell_length_b 5.459
_cell_length_c 5.459
_cell_angle_alpha 60.68
_cell_angle_beta 61.18
_cell_angle_gamma 61.18
_symmetry_space_group_name_H-M 'P 1'
_symmetry_Int_Tables_number 1
loop_
_symmetry_equiv_pos_as_xyz
'x,y,z'
loop_
_atom_site_label
_atom_site_type_symbol
_atom_site_fract_x
_atom_site_fract_y
_atom_site_fract_z
_atom_site_occupancy
Ru1 Ru 0.000 0.000 0.000 1
Nd1 Nd 0.124 0.626 0.626 1
Nd2 Nd 0.876 0.374 0.374 1
Ir1 Ir 0.500 0.000 0.500 1
Ru2 Ru 0.500 0.000 0.000 1
Ir2 Ir 0.500 0.500 0.000 1
```

Results
M_tot ... 0.000 μB/f.u.
V ... 113.4 Å³ per cell
Symmetry ... Imma, No. 74
ΔE_f ... -0.431 eV per atom

Compound: Nd6Ir2Ru
Source: the Alexandria database
Functional: PBE
Structure: relaxed

Structure (CIF):
```
data_Nd6Ir2Ru
_chemical_formula_sum 'Nd12 Ir4 Ru2'
_cell_length_a 6.855
_cell_length_b 7.464
_cell_length_c 10.171
_cell_angle_alpha 90.00
_cell_angle_beta 93.41
_cell_angle_gamma 90.00
_symmetry_space_group_name_H-M 'P 1'
_symmetry_Int_Tables_number 1
loop_
_symmetry_equiv_pos_as_xyz
'x,y,z'
loop_
_atom_site_label
_atom_site_type_symbol
_atom_site_fract_x
_atom_site_fract_y
_atom_site_fract_z
_atom_site_occupancy
Nd1 Nd 0.333 0.823 0.434 1
Nd2 Nd 0.335 0.554 0.749 1
Ir1 Ir 0.549 0.887 0.733 1
Ru1 Ru 0.500 0.500 0.000 1
Nd3 Nd 0.177 0.320 0.422 1
Ir2 Ir 0.451 0.113 0.267 1
Nd4 Nd 0.833 0.677 0.934 1
Ru2 Ru 0.000 0.000 0.500 1
Nd5 Nd 0.835 0.946 0.249 1
Ir3 Ir 0.049 0.613 0.233 1
Ir4 Ir 0.951 0.387 0.767 1
Nd6 Nd 0.167 0.323 0.066 1
Nd7 Nd 0.823 0.680 0.578 1
Nd8 Nd 0.665 0.446 0.251 1
Nd9 Nd 0.667 0.177 0.566 1
Nd10 Nd 0.165 0.054 0.751 1
Nd11 Nd 0.323 0.820 0.078 1
Nd12 Nd 0.677 0.180 0.922 1
```

Results
M_tot ... 0.000 μB/f.u.
V ... 519.5 Å³ per cell
Symmetry ... P2_1/c, No. 14
ΔE_f ... -0.392 eV per atom

Compound: Nd2IrRu3
Source: the Alexandria database
Functional: PBE
Structure: relaxed

Structure (CIF):
```
data_Nd2IrRu3
_chemical_formula_sum 'Nd2 Ir1 Ru3'
_cell_length_a 5.356
_cell_length_b 5.356
_cell_length_c 5.509
_cell_angle_alpha 89.88
_cell_angle_beta 119.20
_cell_angle_gamma 120.02
_symmetry_space_group_name_H-M 'P 1'
_symmetry_Int_Tables_number 1
loop_
_symmetry_equiv_pos_as_xyz
'x,y,z'
loop_
_atom_site_label
_atom_site_type_symbol
_atom_site_fract_x
_atom_site_fract_y
_atom_site_fract_z
_atom_site_occupancy
Ru1 Ru 0.000 0.000 0.500 1
Nd1 Nd 0.247 0.624 0.870 1
Nd2 Nd 0.753 0.376 0.130 1
Ru2 Ru 0.500 0.500 0.500 1
Ir1 Ir 0.000 0.000 0.000 1
Ru3 Ru 0.500 0.000 0.500 1
```

Results
M_tot ... 0.000 μB/f.u.
V ... 113.1 Å³ per cell
Symmetry ... C2/m, No. 12
ΔE_f ... -0.291 eV per atom

| no. | mass density (Mg/m³) |
| --- | --- |
| 1 | 12.8 |
| 2 | 8.6 |
| 3 | 11.5 |